No. 1
DyLuHg2 (GGA-PBE, optimized geometry); formation energy = -0.284 eV/atom; magnetic moment = 0.00 μB per formula unit; offset from the most stable computed form = 193 meV/atom; volume = 25.20 Å³/atom
1.0
5.145 0.000 0.000
0.000 3.350 5.848
0.000 -3.350 5.848
Dy Hg Lu
2 4 2
Direct
0.000 0.327 0.327 Dy
0.500 0.688 0.688 Dy
0.500 0.164 0.164 Hg
0.500 0.675 0.178 Hg
0.500 0.178 0.675 Hg
0.000 0.825 0.825 Hg
0.000 0.833 0.309 Lu
0.000 0.309 0.833 Lu

=====

No. 2
HfMoPt (GGA-PBE, optimized geometry); formation energy = 0.421 eV/atom; magnetic moment = 2.28 μB per formula unit; offset from the most stable computed form = 349 meV/atom; volume = 20.10 Å³/atom
1.0
2.716 1.160 3.263
-1.182 3.158 2.829
-0.993 -1.033 4.162
Hf Mo Pt
1 1 1
Direct
0.000 0.000 0.000 Hf
0.250 0.250 0.250 Mo
0.750 0.750 0.750 Pt

=====

No. 3
NbAlIrAu (GGA-PBE, optimized geometry); magnetic moment = 0.01 μB per formula unit; offset from the most stable computed form = 56 meV/atom; volume = 16.18 Å³/atom
1.0
-2.823 -2.469 2.499
-4.021 -1.188 -1.652
-0.807 -4.297 -1.093
Al Au Ir Nb
1 1 1 1
Direct
0.500 0.500 0.500 Al
0.750 0.750 0.750 Au
0.000 0.000 0.000 Ir
0.250 0.250 0.250 Nb

=====

No. 4
Na4In2AgPd (GGA-PBE, optimized geometry); DFT total energy = -2.4684 eV per atom; volume = 21.21 Å³/atom
1.0
-1.497 -4.614 0.885
1.778 -1.416 -4.375
6.156 -1.428 2.964
Ag In Na Pd
1 2 4 1
Direct
0.000 0.000 0.000 Ag
0.000 0.500 0.261 In
0.500 0.000 0.739 In
0.500 0.500 0.000 Na
0.500 0.000 0.254 Na
0.000 0.000 0.500 Na
0.000 0.500 0.746 Na
0.500 0.500 0.500 Pd

=====

No. 5
La2Cd2Sn3 (GGA-PBE, optimized geometry); DFT total energy = -3.7205 eV per atom; magnetic moment = 0.00 μB per formula unit; volume = 29.53 Å³/atom
1.0
-7.516 3.823 3.823
-3.823 3.823 7.516
-3.823 7.516 3.823
Cd La Sn
2 2 3
Direct
0.005 0.005 0.005 Cd
0.498 0.498 0.498 Cd
0.250 0.250 0.250 La
0.749 0.749 0.749 La
0.379 0.379 0.379 Sn
0.626 0.626 0.626 Sn
0.868 0.868 0.868 Sn

=====

No. 6
CsZrNb (GGA-PBE, optimized geometry); magnetic moment = 1.74 μB per formula unit; offset from the most stable computed form = 0 meV/atom; volume = 30.17 Å³/atom
1.0
0.000 3.563 3.563
3.563 0.000 3.563
3.563 3.563 0.000
Cs Nb Zr
1 1 1
Direct
0.250 0.250 0.250 Cs
0.000 0.000 0.000 Nb
0.750 0.750 0.750 Zr

=====

Q: What is the formula in the fifth record?
A: La2Cd2Sn3